Density functional theory data (PBE) for TiZnH2O after structural relaxation.

Summary:
- Electronic total energy: -3.420 eV/atom
- SG: P4/mmm (123)

Cell lengths 3.9354, 3.9354, 3.5854 Å; angles 90.00, 90.00, 90.00 degrees
Sites, in units of the cell vectors:
1 Ti 0.0000 0.0000 0.0000
2 Zn 0.5000 0.5000 0.0000
3 H 0.0000 0.5000 0.5000
4 H 0.5000 0.0000 0.5000
5 O 0.5000 0.5000 0.5000